# NdThSb2 | Alexandria | PBE-GGA | relaxed
# **D(E_F)**: 4.07 states/eV/cell
# **Raw total energy**: -5.95 eV per atom
# **Polymorph energy (0 for the lowest one)**: 0.902 eV/f.u.
# **ΔE_f (raw)**: -0.84 eV per atom
data_NdThSb2
_space_group_name_H-M_alt 'P 4/m m m'
_space_group_IT_number 123
_space_group_name_Hall '-P 4 2'
_cell_length_a 3.869
_cell_length_b 3.869
_cell_length_c 7.821
_cell_angle_alpha 90.00
_cell_angle_beta 90.00
_cell_angle_gamma 90.00
loop_
_atom_site_label
_atom_site_type_symbol
_atom_site_fract_x
_atom_site_fract_y
_atom_site_fract_z
Nd1 Nd 0.000 0.000 0.000
Th1 Th 0.000 0.000 0.500
Sb1 Sb 0.500 0.500 0.254

# Er2NiGe3Ir4 | Alexandria | PBE-GGA | relaxed
# **D(E_F)**: 6.18 states/eV/cell
# **Raw total energy**: -7.10 eV per atom
# **ΔE_f**: -681 meV/atom
data_Er2NiGe3Ir4
_space_group_name_H-M_alt 'P -4 m 2'
_space_group_IT_number 115
_cell_length_a 4.111
_cell_length_b 4.111
_cell_length_c 10.380
_cell_angle_alpha 90.00
_cell_angle_beta 90.00
_cell_angle_gamma 90.00
loop_
_space_group_symop_operation_xyz
'x,y,z'
'y,-x,-z'
'-x,-y,z'
'-y,x,-z'
'-x,y,z'
'-y,-x,-z'
'x,-y,z'
'y,x,-z'
loop_
_atom_site_label
_atom_site_type_symbol
_atom_site_fract_x
_atom_site_fract_y
_atom_site_fract_z
Er1 Er 0.000 0.500 0.249
Ni1 Ni 0.500 0.500 0.000
Ge1 Ge 0.000 0.000 0.000
Ge2 Ge 0.000 0.500 0.633
Ir1 Ir 0.000 0.000 0.500
Ir2 Ir 0.000 0.500 0.865
Ir3 Ir 0.500 0.500 0.500

# SrCeNi4 | Alexandria | PBE-GGA | relaxed
# **D(E_F)**: 29.55 states/eV/cell
# **Raw total energy**: -5.28 eV per atom
# **ΔE_f**: -152 meV/atom
data_SrCeNi4
_space_group_name_H-M_alt 'F -4 3 m'
_space_group_IT_number 216
_space_group_name_Hall 'F -4 2 3'
_cell_length_a 7.307
_cell_length_b 7.307
_cell_length_c 7.307
_cell_angle_alpha 90.00
_cell_angle_beta 90.00
_cell_angle_gamma 90.00
loop_
_atom_site_label
_atom_site_type_symbol
_atom_site_fract_x
_atom_site_fract_y
_atom_site_fract_z
Sr1 Sr 0.000 0.000 0.000
Ce1 Ce 0.250 0.250 0.750
Ni1 Ni 0.124 0.124 0.376

# SrLi2ZnAg | Alexandria | PBE-GGA | relaxed
# **D(E_F)**: 3.09 states/eV/cell
# **Raw total energy**: -1.97 eV per atom
# **Polymorph energy (0 for the lowest one)**: 0.032 eV/f.u.
# **ΔE_f**: -45 meV/atom
data_SrLi2ZnAg
_space_group_name_H-M_alt 'P 4/m m m'
_space_group_IT_number 123
_space_group_name_Hall '-P 4 2'
_cell_length_a 4.956
_cell_length_b 4.956
_cell_length_c 5.054
_cell_angle_alpha 90.00
_cell_angle_beta 90.00
_cell_angle_gamma 90.00
loop_
_atom_site_label
_atom_site_type_symbol
_atom_site_fract_x
_atom_site_fract_y
_atom_site_fract_z
Sr1 Sr 0.000 0.000 0.000
Li1 Li 0.000 0.500 0.500
Zn1 Zn 0.500 0.500 0.500
Ag1 Ag 0.500 0.500 0.000